VASP calculation (PBE) on crystalline NdZnCdGa2 at its relaxed geometry.

abc: 4.3029 4.3029 6.3780
angles: 109.71 109.71 90.00
Fractional coordinates of all 5 atoms:
Ga1 0.3907 0.3907 0.7814
Nd1 0.0000 0.0000 0.0000
Zn1 0.7500 0.2500 0.5000
Ga2 0.6093 0.6093 0.2186
Cd1 0.2500 0.7500 0.5000

As for the calculated total energy: -15.153 eV per cell. For the volume, the calculation gives 103.8 Å³/cell. Its energy of formation from the pure elements is -0.4285 eV per atom. The space group is I-4m2, No. 119. The value obtained for the density of states at the Fermi level is 0.254 states/eV/atom.

***

VASP calculation (PBE) on crystalline AlCr2Ga at its relaxed geometry.

abc: 3.8730 3.7022 3.7022
angles: 90.00 90.00 90.00
Site moments in Bohr magnetons follow the coordinates.
Fractional coordinates of all 4 atoms:
Al1 0.5000 0.5000 0.5000  -0.02
Ga1 0.5000 0.0000 0.0000  -0.03
Cr1 0.0000 0.5000 0.0000  0.95
Cr2 0.0000 0.0000 0.5000  0.95

As for the calculated total energy: -25.687 eV per cell. For the volume, the calculation gives 53.1 Å³/cell. Its energy of formation from the pure elements is 0.0822 eV per atom. The space group is P4/mmm, No. 123. The value obtained for the density of states at the Fermi level is 1.239 states/eV/atom.

***

VASP calculation (PBE) on crystalline TlCd2In2 at its relaxed geometry.

abc: 5.6853 5.6853 5.9763
angles: 111.59 97.71 118.17
Fractional coordinates of all 5 atoms:
In1 0.6661 0.6229 0.2890
In2 0.3339 0.3771 0.7110
Cd1 0.7463 0.2463 0.5000
Cd2 0.2537 0.7537 0.5000
Tl1 0.0000 0.0000 0.0000

As for the energy relative to the lowest polymorph listed for this composition: 35.1 meV per atom. As for the calculated total energy: -9.251 eV per cell. For the volume, the calculation gives 146.7 Å³/cell. Its energy of formation from the pure elements is 0.0844 eV per atom. The space group is C2/m, No. 12. The value obtained for the density of states at the Fermi level is 0.385 states/eV/atom.

***

VASP calculation (PBE) on crystalline La3TbSm12 at its relaxed geometry.

abc: 5.1592 5.1592 20.6298
angles: 90.00 90.00 90.00
Fractional coordinates of all 16 atoms:
Sm1 0.0000 0.5000 0.8773
Sm2 0.5000 0.5000 0.5000
Sm3 0.5000 0.5000 0.2480
Sm4 0.0000 0.5000 0.3745
Sm5 0.5000 0.0000 0.8773
Sm6 0.5000 0.0000 0.6255
Sm7 0.5000 0.5000 0.0000
Sm8 0.5000 0.0000 0.3745
Sm9 0.0000 0.5000 0.1227
La1 0.0000 0.0000 0.2493
La2 0.0000 0.0000 0.7507
La3 0.0000 0.0000 0.5000
Tb1 0.0000 0.0000 0.0000
Sm10 0.5000 0.5000 0.7520
Sm11 0.0000 0.5000 0.6255
Sm12 0.5000 0.0000 0.1227

As for the calculated total energy: -75.745 eV per cell. For the volume, the calculation gives 549.1 Å³/cell. Its energy of formation from the pure elements is 0.0186 eV per atom. The space group is P4/mmm, No. 123. The value obtained for the density of states at the Fermi level is 1.617 states/eV/atom.